(1)
This record from Alexandria describes a relaxed PrThCBr crystal. The functional is PBE.

a = 3.790 Å, b = 3.797 Å, c = 7.952 Å
α = 89.98°, β = 103.75°, γ = 120.11°
Sites, in units of the cell vectors:
Pr  0.511  0.153  0.679
Th  0.087  0.942  0.045
C  0.311  0.553  0.880
Br  0.969  0.382  0.366

Output
Raw formation energy in eV per atom: -0.847
Total magnetization in μB/f.u.: 0.0

(2)
This record from Alexandria describes a relaxed Pr2TmC2Br2 crystal. The functional is PBE.

a = 4.518 Å, b = 4.518 Å, c = 8.517 Å
α = 105.38°, β = 105.38°, γ = 90.00°
Sites, in units of the cell vectors:
Pr  0.399  0.399  0.799
Pr  0.601  0.601  0.201
Tm  0.000  0.000  0.000
C  0.000  0.500  0.000
C  0.500  0.000  0.000
Br  0.188  0.188  0.376
Br  0.812  0.812  0.624

Output
Raw formation energy in eV per atom: -0.688
Total magnetization in μB/f.u.: 0.0

Q: Look up the raw formation energy of the second one.
A: -0.688 eV per atom